Cs2SnH12N6: relaxed, GGA-PBEsol.

Unit cell a=5.602 b=6.841 c=6.841 alpha=120.00 beta=90.00 gamma=90.00
Sites, in units of the cell vectors:
1 H 0.392 0.255 0.059
2 H 0.780 0.594 0.722
3 H 0.392 0.941 0.196
4 H 0.780 0.127 0.406
5 H 0.608 0.745 0.941
6 H 0.392 0.804 0.745
7 H 0.220 0.873 0.594
8 H 0.608 0.196 0.255
9 H 0.608 0.059 0.804
10 H 0.220 0.406 0.278
11 H 0.220 0.722 0.127
12 H 0.780 0.278 0.873
13 N 0.217 0.304 0.105
14 N 0.783 0.199 0.304
15 N 0.783 0.105 0.801
16 N 0.217 0.895 0.199
17 N 0.783 0.696 0.895
18 N 0.217 0.801 0.696
19 Cs 0.224 0.333 0.667
20 Cs 0.776 0.667 0.333
21 Sn 0.000 0.000 0.000

Calculated values
The calculation puts the total DFT energy (no corrections) at -4.9771 eV per atom. For the calculated volume, the calculation gives 227 Å³ per cell. The calculation puts the magnetization at 0.000 μB/f.u.